Entry i
Density functional theory data (PBE) for a relaxed structure of BaSrRe2.

Density of states at the Fermi level: 3.5 states/eV/cell
Calculated density: 10.83 g/cm3

Unit cell a=6.1556 b=6.2982 c=2.9130 alpha=66.88 beta=87.95 gamma=114.75
Atoms (fractional coordinates):
1 Ba 0.5000 0.0000 0.5000
2 Re 0.0000 0.0000 0.0000
3 Re 0.0000 0.5000 0.5000
4 Sr 0.5000 0.5000 0.0000

***

Entry ii
Density functional theory data (PBE) for a relaxed structure of BaSrRe2.

Density of states at the Fermi level: 4.3 states/eV/cell
Calculated density: 9.02 g/cm3

Unit cell a=3.3282 b=3.3274 c=10.5092 alpha=70.85 beta=90.00 gamma=90.00
Atoms (fractional coordinates):
1 Ba 0.5000 0.6941 0.8176
2 Re 0.0000 0.9269 0.0748
3 Re 0.5000 0.3128 0.1847
4 Sr 0.0000 0.5662 0.4229

***

Energetically preferred structure: entry ii | next structure: +0.904 eV/atom

***

Entry i
Density functional theory data (PBE) for a relaxed structure of BaSrRe2.

Density of states at the Fermi level: 4.3 states/eV/cell
Calculated density: 9.43 g/cm3

Unit cell a=5.2980 b=5.2980 c=5.2980 alpha=60.00 beta=60.00 gamma=60.00
Last column: magnetic moment on the atom in μB.
Atoms (fractional coordinates):
1 Re 0.2500 0.2500 0.2500  1.75
2 Re 0.7500 0.7500 0.7500  1.75
3 Ba 0.5000 0.5000 0.5000  0.01
4 Sr 0.0000 0.0000 0.0000  0.04

***

Entry ii
Density functional theory data (PBE) for a relaxed structure of BaSrRe2.

Density of states at the Fermi level: 4.6 states/eV/cell
Calculated density: 10.96 g/cm3

Unit cell a=11.4910 b=11.4910 c=11.4910 alpha=15.17 beta=15.17 gamma=15.17
Atoms (fractional coordinates):
1 Ba 0.7500 0.7500 0.7500
2 Re 0.9961 0.9961 0.9961
3 Re 0.5039 0.5039 0.5039
4 Sr 0.2500 0.2500 0.2500

***

Energetically preferred structure: entry ii | next structure: +0.235 eV/atom

***

Entry i
Density functional theory data (PBE) for a relaxed structure of BaSrRe.

Density of states at the Fermi level: 6.1 states/eV/cell
Calculated density: 6.38 g/cm3

Unit cell a=5.3301 b=5.3301 c=5.3301 alpha=60.00 beta=60.00 gamma=60.00
Last column: magnetic moment on the atom in μB.
Atoms (fractional coordinates):
1 Ba 0.5000 0.5000 0.5000  -0.03
2 Re 0.7500 0.7500 0.7500  1.38
3 Sr 0.0000 0.0000 0.0000  -0.01

***

Entry ii
Density functional theory data (PBE) for a relaxed structure of BaSrRe.

Density of states at the Fermi level: 3.7 states/eV/cell
Calculated density: 6.76 g/cm3

Unit cell a=8.2750 b=8.2750 c=8.2750 alpha=156.90 beta=152.96 gamma=35.85
Atoms (fractional coordinates):
1 Ba 0.9600 0.9600 0.0000
2 Re 0.3301 0.3301 0.0000
3 Sr 0.7099 0.7099 0.0000

***

Energetically preferred structure: entry ii | next structure: +0.179 eV/atom

***

Entry i
Density functional theory data (PBE) for a relaxed structure of BaSr3Re.

Density of states at the Fermi level: 13.4 states/eV/cell
Calculated density: 4.75 g/cm3

Unit cell a=5.8961 b=5.8961 c=5.8961 alpha=90.00 beta=90.00 gamma=90.00
Atoms (fractional coordinates):
1 Re 0.5000 0.5000 0.5000
2 Ba 0.0000 0.0000 0.0000
3 Sr 0.0000 0.5000 0.0000
4 Sr 0.0000 0.0000 0.5000
5 Sr 0.5000 0.0000 0.0000

***

Entry ii
Density functional theory data (PBE) for a relaxed structure of BaSr3Re.

Density of states at the Fermi level: 3.9 states/eV/cell
Calculated density: 4.30 g/cm3

Unit cell a=6.0965 b=6.0965 c=6.0965 alpha=90.00 beta=90.00 gamma=90.00
Last column: magnetic moment on the atom in μB.
Atoms (fractional coordinates):
1 Re 0.0000 0.0000 0.0000  1.49
2 Ba 0.5000 0.5000 0.5000  0.03
3 Sr 0.0000 0.5000 0.0000  0.03
4 Sr 0.0000 0.0000 0.5000  0.02
5 Sr 0.5000 0.0000 0.0000  0.03

***

Energetically preferred structure: entry ii | next structure: +1.575 eV/atom

***

Entry i
Density functional theory data (PBE) for a relaxed structure of Ba3SrRe.

Density of states at the Fermi level: 12.4 states/eV/cell
Calculated density: 4.56 g/cm3

Unit cell a=6.2975 b=6.2975 c=6.2975 alpha=90.00 beta=90.00 gamma=90.00
Last column: magnetic moment on the atom in μB.
Atoms (fractional coordinates):
1 Re 0.5000 0.5000 0.5000  -0.12
2 Ba 0.0000 0.5000 0.0000  0.04
3 Ba 0.0000 0.0000 0.5000  0.05
4 Ba 0.5000 0.0000 0.0000  0.03
5 Sr 0.0000 0.0000 0.0000  0.06

***

Entry ii
Density functional theory data (PBE) for a relaxed structure of Ba3SrRe.

Density of states at the Fermi level: 5.0 states/eV/cell
Calculated density: 4.84 g/cm3

Unit cell a=6.1752 b=6.1752 c=6.1752 alpha=90.00 beta=90.00 gamma=90.00
Atoms (fractional coordinates):
1 Re 0.0000 0.0000 0.0000
2 Ba 0.0000 0.5000 0.0000
3 Ba 0.0000 0.0000 0.5000
4 Ba 0.5000 0.0000 0.0000
5 Sr 0.5000 0.5000 0.5000

***

Energetically preferred structure: entry ii | next structure: +1.439 eV/atom

***

Entry i
Density functional theory data (PBE) for a relaxed structure of BaReTc2.

Density of states at the Fermi level: 6.5 states/eV/cell
Calculated density: 11.38 g/cm3

Unit cell a=3.1936 b=5.2701 c=4.5031 alpha=90.00 beta=90.00 gamma=90.00
Atoms (fractional coordinates):
1 Ba 0.5000 0.0000 0.5000
2 Re 0.0000 0.5000 0.5000
3 Tc 0.0000 0.0000 0.0000
4 Tc 0.5000 0.5000 0.0000

***

Entry ii
Density functional theory data (PBE) for a relaxed structure of BaReTc2.

Density of states at the Fermi level: 4.3 states/eV/cell
Calculated density: 10.99 g/cm3

Unit cell a=5.9663 b=5.9663 c=5.9663 alpha=151.85 beta=127.84 gamma=60.32
Atoms (fractional coordinates):
1 Ba 0.5008 0.5008 0.0000
2 Re 0.2128 0.7128 0.5000
3 Tc 0.9991 0.9991 0.0000
4 Tc 0.7872 0.2872 0.5000

***

Entry iii
Density functional theory data (PBE) for a relaxed structure of BaReTc2.

Density of states at the Fermi level: 4.1 states/eV/cell
Calculated density: 9.38 g/cm3

Unit cell a=4.9646 b=4.9646 c=6.3955 alpha=76.77 beta=76.77 gamma=36.97
Atoms (fractional coordinates):
1 Ba 0.5002 0.5002 0.5028
2 Re 0.2863 0.2863 0.1241
3 Tc 0.9983 0.9983 0.0067
4 Tc 0.7152 0.7152 0.8664

***

Entry iv
Density functional theory data (PBE) for a relaxed structure of BaReTc2.

Density of states at the Fermi level: 4.1 states/eV/cell
Calculated density: 11.32 g/cm3

Unit cell a=10.2227 b=10.2227 c=10.2227 alpha=16.62 beta=16.62 gamma=16.62
Atoms (fractional coordinates):
1 Ba 0.2500 0.2500 0.2500
2 Re 0.7500 0.7500 0.7500
3 Tc 0.0154 0.0154 0.0154
4 Tc 0.4846 0.4846 0.4846

***

Energetically preferred structure: entry iii | next structure: +0.159 eV/atom